Material: Sr5W3O14
Method: DFT, GGA+U
State: relaxed

Structure (CIF):
```
data_Sr5W3O14
_chemical_formula_sum 'Sr10 W6 O28'
_space_group_name_H-M_alt 'P 1'
_space_group_IT_number 1
_cell_length_a 7.680
_cell_length_b 7.680
_cell_length_c 11.083
_cell_angle_alpha 90.00
_cell_angle_beta 90.00
_cell_angle_gamma 89.55
loop_
_space_group_symop_operation_xyz
'x,y,z'
loop_
_atom_site_label
_atom_site_fract_x
_atom_site_fract_y
_atom_site_fract_z
Sr1 0.001 0.999 0.500
Sr2 0.018 0.492 0.469
Sr3 0.251 0.746 0.723
Sr4 0.492 0.018 0.969
Sr5 0.499 0.501 0.949
Sr6 0.501 0.499 0.449
Sr7 0.519 0.992 0.479
Sr8 0.746 0.251 0.223
Sr9 0.992 0.519 0.979
Sr10 0.999 0.001 0.000
W1 0.249 0.250 0.225
W2 0.250 0.249 0.725
W3 0.251 0.750 0.224
W4 0.749 0.750 0.724
W5 0.750 0.251 0.724
W6 0.750 0.749 0.224
O1 0.000 0.745 0.181
O2 0.053 0.276 0.115
O3 0.078 0.218 0.350
O4 0.200 0.789 0.392
O5 0.218 0.078 0.850
O6 0.220 0.446 0.834
O7 0.245 0.500 0.268
O8 0.252 0.996 0.181
O9 0.276 0.053 0.615
O10 0.280 0.421 0.599
O11 0.289 0.700 0.057
O12 0.421 0.280 0.099
O13 0.446 0.220 0.334
O14 0.496 0.753 0.267
O15 0.500 0.245 0.768
O16 0.552 0.776 0.833
O17 0.577 0.718 0.599
O18 0.700 0.289 0.557
O19 0.718 0.577 0.099
O20 0.720 0.945 0.115
O21 0.745 0.000 0.681
O22 0.753 0.496 0.767
O23 0.776 0.552 0.333
O24 0.780 0.919 0.351
O25 0.789 0.200 0.892
O26 0.919 0.780 0.851
O27 0.945 0.720 0.615
O28 0.996 0.252 0.681
```

Output
- DFT total energy: -7.102 eV/atom
- Space-group type: Cc
- Total moment: 0.000 μB/f.u.